! AgRhBr2 (PBE, optimized geometry); values from VASP
&SYSTEM
  ibrav = 0, nat = 4, ntyp = 3
/
ATOMIC_SPECIES
Rh 102.91 Rh.upf
Br 79.90 Br.upf
Ag 107.87 Ag.upf
ATOMIC_POSITIONS crystal
Rh 0.500 0.500 0.500
Br 0.893 0.893 0.893
Br 0.107 0.107 0.107
Ag 0.000 0.000 0.000
CELL_PARAMETERS angstrom
2.293 0.000 7.904
-1.146 1.986 7.904
-1.146 -1.986 7.904
! Energy above the most stable polymorph in this dataset   238.5 meV/atom
! Total magnetic moment   2.0 μB/cell
! Formation energy (no corrections)   159 meV/atom
! Space group   R-3m
! N(E_F)   0.071 states/eV per atom

***

! La4CdTe3 (PBE, optimized geometry); values from VASP
&SYSTEM
  ibrav = 0, nat = 8, ntyp = 3
/
ATOMIC_SPECIES
Cd 112.41 Cd.upf
Te 127.60 Te.upf
La 138.91 La.upf
ATOMIC_POSITIONS crystal
Cd 0.500 0.000 0.000
Te 0.000 0.000 0.500
Te 0.500 0.500 0.500
Te 0.000 0.500 0.000
La 0.000 0.250 0.250
La 0.500 0.750 0.250
La 0.000 0.750 0.750
La 0.500 0.250 0.750
CELL_PARAMETERS angstrom
4.512 0.000 0.000
0.000 7.581 -2.540
0.000 -0.021 7.995
! Total magnetic moment   0.0 μB/cell
! Formation energy (no corrections)   -1234 meV/atom
! Space group   Cmmm
! N(E_F)   0.697 states/eV per atom

***

! TaSi (PBE, optimized geometry); values from VASP
&SYSTEM
  ibrav = 0, nat = 2, ntyp = 2
/
ATOMIC_SPECIES
Si 28.09 Si.upf
Ta 180.95 Ta.upf
ATOMIC_POSITIONS crystal
Si 0.000 0.000 0.000
Ta 0.500 0.500 0.500
CELL_PARAMETERS angstrom
4.655 -0.015 -0.009
3.748 2.760 -0.009
3.748 1.225 2.474
! Total magnetic moment   0.0 μB/cell
! Formation energy (no corrections)   -48 meV/atom
! Space group   R-3m
! N(E_F)   0.972 states/eV per atom

***

! Ac2Pr2Rh3 (PBE, optimized geometry); values from VASP
&SYSTEM
  ibrav = 0, nat = 7, ntyp = 3
/
ATOMIC_SPECIES
Ac 227.00 Ac.upf
Pr 140.91 Pr.upf
Rh 102.91 Rh.upf
ATOMIC_POSITIONS crystal
Ac 0.869 0.737 0.636
Ac 0.131 0.263 0.364
Pr 0.629 0.257 0.899
Pr 0.371 0.743 0.101
Rh 0.000 0.000 0.000
Rh 0.764 0.528 0.257
Rh 0.236 0.472 0.743
CELL_PARAMETERS angstrom
-1.563 2.704 -2.942
1.938 -5.957 -3.372
-6.845 -1.913 1.880
! ΔH_f (0 K)   -0.589 eV per atom
! Total magnetic moment   0.0 μB/cell
! Space group   P-1
! N(E_F)   0.532 states/eV per atom

***

! TcPSeS2 (PBE, optimized geometry); values from VASP
&SYSTEM
  ibrav = 0, nat = 5, ntyp = 4
/
ATOMIC_SPECIES
P 30.97 P.upf
S 32.06 S.upf
Tc 98.00 Tc.upf
Se 78.96 Se.upf
ATOMIC_POSITIONS crystal
P 0.000 0.000 0.500
S 0.000 0.500 0.000
S 0.500 0.000 0.000
Tc 0.000 0.000 0.000
Se 0.500 0.500 0.500
CELL_PARAMETERS angstrom
-4.265 0.686 -1.173
0.863 -1.617 -4.083
-1.163 -4.562 1.561
! Energy above the most stable polymorph in this dataset   0.0 meV/atom
! Total magnetic moment   0.0 μB/cell
! Formation energy (no corrections)   465 meV/atom
! Space group   P4/mmm
! N(E_F)   0.694 states/eV per atom

***

! MgPd14Pb (PBE, optimized geometry); values from VASP
&SYSTEM
  ibrav = 0, nat = 16, ntyp = 3
/
ATOMIC_SPECIES
Mg 24.30 Mg.upf
Pd 106.42 Pd.upf
Pb 207.20 Pb.upf
ATOMIC_POSITIONS crystal
Mg 0.375 0.375 0.500
Pd 0.875 0.875 0.000
Pd 0.375 0.375 0.000
Pd 0.875 0.375 0.500
Pd 0.875 0.375 0.000
Pd 0.375 0.875 0.500
Pd 0.375 0.875 0.000
Pd 0.622 0.128 0.247
Pd 0.622 0.128 0.753
Pd 0.128 0.622 0.247
Pd 0.128 0.622 0.753
Pd 0.622 0.622 0.247
Pd 0.622 0.622 0.753
Pd 0.128 0.128 0.247
Pd 0.128 0.128 0.753
Pb 0.875 0.875 0.500
CELL_PARAMETERS angstrom
-3.830 -3.126 2.801
3.639 -0.587 4.324
-2.898 6.530 3.325
! ΔH_f (0 K)   -0.176 eV per atom
! Total magnetic moment   0.0 μB/cell
! Space group   P4/mmm
! N(E_F)   1.880 states/eV per atom

***

! TiBr3N (PBE, optimized geometry); values from VASP
&SYSTEM
  ibrav = 0, nat = 5, ntyp = 3
/
ATOMIC_SPECIES
N 14.01 N.upf
Br 79.90 Br.upf
Ti 47.87 Ti.upf
ATOMIC_POSITIONS crystal
N 0.000 0.000 0.000
Br 0.000 0.500 0.000
Br 0.000 0.000 0.500
Br 0.500 0.000 0.000
Ti 0.500 0.500 0.500
CELL_PARAMETERS angstrom
4.655 0.000 0.000
0.000 4.655 0.000
0.000 0.000 4.655
! Energy above the most stable polymorph in this dataset   852.0 meV/atom
! Total magnetic moment   0.0 μB/cell
! Formation energy (no corrections)   1008 meV/atom
! Space group   Pm-3m
! N(E_F)   2.663 states/eV per atom

***

! Ca2TaHg (PBE, optimized geometry); values from VASP
&SYSTEM
  ibrav = 0, nat = 4, ntyp = 3
/
ATOMIC_SPECIES
Ca 40.08 Ca.upf
Hg 200.59 Hg.upf
Ta 180.95 Ta.upf
ATOMIC_POSITIONS crystal
Ca 0.979 0.979 0.059
Ca 0.777 0.777 0.680
Hg 0.525 0.525 0.544
Ta 0.219 0.219 0.218
CELL_PARAMETERS angstrom
-4.629 1.823 3.803
-5.702 -0.901 2.427
0.434 -2.704 5.012
! ΔH_f (0 K)   0.350 eV per atom
! Total magnetic moment   1.2 μB/cell
! Space group   Cm
! N(E_F)   1.006 states/eV per atom

***

! Cd2SiSe (PBE, optimized geometry); values from VASP
&SYSTEM
  ibrav = 0, nat = 4, ntyp = 3
/
ATOMIC_SPECIES
Cd 112.41 Cd.upf
Se 78.96 Se.upf
Si 28.09 Si.upf
ATOMIC_POSITIONS crystal
Cd 0.950 0.950 0.976
Cd 0.718 0.718 0.939
Se 0.537 0.537 0.301
Si 0.296 0.296 0.284
CELL_PARAMETERS angstrom
-4.537 6.711 -2.970
-6.107 4.251 -4.369
-3.347 1.014 1.973
! Energy above the most stable polymorph in this dataset   39.2 meV/atom
! Total magnetic moment   0.0 μB/cell
! Formation energy (no corrections)   117 meV/atom
! Space group   Amm2
! N(E_F)   0.256 states/eV per atom

***

! TiTc2PRu (PBE, optimized geometry); values from VASP
&SYSTEM
  ibrav = 0, nat = 5, ntyp = 4
/
ATOMIC_SPECIES
Ru 101.07 Ru.upf
Tc 98.00 Tc.upf
P 30.97 P.upf
Ti 47.87 Ti.upf
ATOMIC_POSITIONS crystal
Ru 0.000 0.500 0.000
Tc 0.000 0.000 0.500
Tc 0.500 0.000 0.000
P 0.000 0.000 0.000
Ti 0.500 0.500 0.500
CELL_PARAMETERS angstrom
-3.256 1.044 2.696
-2.207 -3.419 -1.341
1.824 -2.408 3.136
! ΔH_f (0 K)   0.091 eV per atom
! Total magnetic moment   0.0 μB/cell
! Space group   P4/mmm
! N(E_F)   0.572 states/eV per atom

***

! NdNp2US4 (PBE, optimized geometry); values from VASP
&SYSTEM
  ibrav = 0, nat = 8, ntyp = 4
/
ATOMIC_SPECIES
Nd 144.24 Nd.upf
Np 237.00 Np.upf
U 238.03 U.upf
S 32.06 S.upf
ATOMIC_POSITIONS crystal
Nd 0.000 0.000 0.000
Np 0.500 0.000 0.500
Np 0.000 0.500 0.500
U 0.500 0.500 0.000
S 0.500 0.259 0.257
S 0.500 0.741 0.743
S 0.000 0.252 0.747
S 0.000 0.748 0.253
CELL_PARAMETERS angstrom
3.922 0.000 0.000
0.000 6.856 0.128
0.000 -2.385 6.377
! Total magnetic moment   2.3 μB/cell
! Formation energy (no corrections)   -1494 meV/atom
! Space group   P2/m
! N(E_F)   2.936 states/eV per atom

***

! ZrAg2Sb (PBE, optimized geometry); values from VASP
&SYSTEM
  ibrav = 0, nat = 4, ntyp = 3
/
ATOMIC_SPECIES
Ag 107.87 Ag.upf
Sb 121.76 Sb.upf
Zr 91.22 Zr.upf
ATOMIC_POSITIONS crystal
Ag 0.995 0.995 0.075
Ag 0.246 0.246 0.172
Sb 0.505 0.505 0.580
Zr 0.754 0.754 0.673
CELL_PARAMETERS angstrom
-0.818 0.114 -5.497
-3.596 -0.456 -4.214
-1.731 4.925 -1.562
! Total magnetic moment   0.0 μB/cell
! Formation energy (no corrections)   -50 meV/atom
! Space group   Cm
! N(E_F)   0.817 states/eV per atom